A geometry-optimized RePdO3 structure, computed with PBE-GGA.

Calculated values
The total energy comes out at -28.5 eV/cell. The space group is Pm-3m (221).

```
RePdO3
1.0
3.934 0.000 0.000
0.000 3.934 0.000
0.000 0.000 3.934
Re Pd O
1 1 3
direct
0.000 0.000 0.000
0.500 0.500 0.500
0.000 0.500 0.500
0.500 0.000 0.500
0.500 0.500 0.000
```